DyHoInHg GGA-PBE relaxed; ΔH_f (0 K) = -459 meV/atom; symmetry = F-43m (216)
1.0
0.0000 3.7406 3.7406
3.7406 0.0000 3.7406
3.7406 3.7406 0.0000
Dy Ho In Hg
1 1 1 1
Direct
0.0000 0.0000 0.0000 Dy
0.5000 0.5000 0.5000 Ho
0.2500 0.2500 0.2500 In
0.7500 0.7500 0.7500 Hg